Record 1
First-principles (PBE-GGA) data for a geometry-optimized Zr2GaNi structure, as listed in Alexandria via LeMat-Bulk.

The structure in POSCAR format:
```
Zr2GaNi
1.0
-0.164 -2.870 1.068
-0.510 -1.029 -2.844
7.411 -0.809 -1.035
Ni Ga Zr
1 1 2
Direct
0.500 0.500 0.000
0.500 0.500 0.500
0.000 0.000 0.766
0.000 0.000 0.234
```

DFT formation energy	-162	kJ/mol of formula units
spin magnetization	0.0	μB/f.u.

***

Record 2
First-principles (PBE-GGA) data for a geometry-optimized RbLiSe structure, as listed in Alexandria via LeMat-Bulk.

The structure in POSCAR format:
```
RbLiSe
1.0
-2.719 0.222 -3.805
1.172 -4.397 -1.094
-4.234 -5.029 5.590
Li Se Rb
2 2 2
Direct
0.514 0.118 0.969
0.841 0.792 0.622
0.679 0.954 0.295
0.428 0.705 0.795
0.078 0.551 0.098
0.279 0.357 0.493
```

E_form (uncorrected)	-1.028	eV per atom
spin magnetization	0.0	μB/f.u.

***

Record 3
First-principles (PBE-GGA) data for a geometry-optimized CsMnInTe3 structure, as listed in Alexandria via LeMat-Bulk.

The structure in POSCAR format:
```
CsMnInTe3
1.0
8.958 0.001 0.000
-0.001 8.958 0.000
2.243 2.243 24.353
Cs Mn In Te
8 8 8 24
Direct
0.770 0.395 0.420
0.605 0.230 0.080
0.230 0.605 0.580
0.395 0.770 0.920
0.105 0.230 0.080
0.770 0.895 0.420
0.895 0.770 0.920
0.230 0.105 0.580
0.064 0.936 0.250
0.936 0.064 0.750
0.064 0.439 0.250
0.561 0.936 0.250
0.936 0.561 0.750
0.439 0.064 0.750
0.561 0.439 0.250
0.439 0.561 0.750
0.844 0.719 0.124
0.281 0.156 0.376
0.156 0.281 0.876
0.719 0.844 0.624
0.281 0.656 0.376
0.344 0.719 0.124
0.719 0.344 0.624
0.656 0.281 0.876
0.263 0.388 0.448
0.612 0.737 0.052
0.737 0.612 0.552
0.388 0.263 0.948
0.112 0.737 0.052
0.263 0.888 0.448
0.888 0.263 0.948
0.737 0.112 0.552
0.329 0.434 0.185
0.566 0.671 0.315
0.671 0.566 0.815
0.434 0.329 0.685
0.028 0.171 0.315
0.829 0.972 0.185
0.972 0.829 0.685
0.171 0.028 0.815
0.027 0.671 0.315
0.329 0.973 0.185
0.973 0.329 0.685
0.671 0.027 0.815
0.829 0.435 0.186
0.565 0.171 0.314
0.171 0.565 0.814
0.435 0.829 0.686
```

E_form (uncorrected)	-0.538	eV per atom
spin magnetization	5.0	μB/f.u.

***

Record 4
First-principles (PBE-GGA) data for a geometry-optimized Ag2TeRh2 structure, as listed in Alexandria via LeMat-Bulk.

The structure in POSCAR format:
```
Ag2TeRh2
1.0
6.596 0.000 0.000
0.000 6.596 0.000
0.000 0.000 4.306
Te Rh Ag
2 4 4
Direct
0.000 0.000 0.000
0.500 0.500 0.000
0.354 0.854 0.000
0.854 0.646 0.000
0.646 0.146 0.000
0.146 0.354 0.000
0.154 0.654 0.500
0.654 0.846 0.500
0.846 0.346 0.500
0.346 0.154 0.500
```

E_form (uncorrected)	0.121	eV per atom
spin magnetization	0.0	μB/f.u.